First-principles (PBE) data for an optimized crystal structure of NaCo2H2, as listed in Alexandria.

## Properties
As for the final energy: -0.1551 hartree per atom. The value obtained for the volume is 11.3 Å³/atom.

Lattice parameters (Å, degrees): 3.3463 3.3463 5.5872 72.57 72.57 90.00
Closest atoms and distances in Å follow each position.
Atoms (fractional coordinates):
1 Na 0.0000 0.0000 0.0000  10 Co 2.89-3.21, 8 H 3.03
2 H 0.7500 0.2500 0.5000  4 Co 1.71
3 H 0.2500 0.7500 0.5000  4 Co 1.71
4 Co 0.7141 0.7141 0.5718  4 H 1.71
5 Co 0.2859 0.2859 0.4282  4 H 1.71